## Er3TmO6 (PBE-GGA)

Data for a relaxed structure of Er3TmO6.

POSCAR file:
```
Er3TmO6
1.0
6.644 -0.019 -0.019
-0.163 6.642 -0.019
-0.163 -0.167 6.640
Er O Tm
6 12 2
direct
0.749 0.443 0.936 Er
0.443 0.936 0.749 Er
0.936 0.749 0.443 Er
0.251 0.557 0.064 Er
0.064 0.251 0.557 Er
0.557 0.064 0.251 Er
0.601 0.817 0.469 O
0.469 0.601 0.817 O
0.906 0.071 0.315 O
0.071 0.315 0.906 O
0.094 0.929 0.685 O
0.531 0.399 0.183 O
0.183 0.531 0.399 O
0.929 0.685 0.094 O
0.399 0.183 0.531 O
0.817 0.469 0.601 O
0.685 0.094 0.929 O
0.315 0.906 0.071 O
0.500 0.500 0.500 Tm
0.000 0.000 0.000 Tm
```

Summary:
Volume   146.47 Å³/f.u.
Raw formation energy   -3627 meV/atom